[1]
TaI2Br | PBE | optimized geometry

## Properties
Symmetry = No. 44
Magnetic moment = 1.9 μB per cell
E_form (uncorrected) = -0.265 eV per atom
Crystal system = orthorhombic
Volume = 35.3 A^3/atom
E above lowest polymorph = 0.85 eV per formula unit

a b c (Å): 3.6937 5.5646 13.7568
angles (deg): 90.00 90.00 90.00
Last column: nearest neighbours and their distance in Å.
Atoms (fractional coordinates):
1 Br 0.5000 0.5000 0.7387  2 Ta 2.67
2 Br 0.0000 0.0000 0.2387  2 Ta 2.67
3 I 0.0000 0.0000 0.8669  2 Ta 2.79
4 I 0.5000 0.5000 0.3669  2 Ta 2.79
5 I 0.0000 0.0000 0.5319  2 Ta 2.80
6 I 0.5000 0.5000 0.0319  2 Ta 2.80
7 Ta 0.0000 0.5000 0.8792  2 Br 2.67, 4 I 2.79-2.80
8 Ta 0.5000 0.0000 0.3792  2 Br 2.67, 4 I 2.79-2.80

---

[2]
TiTlS | PBE | optimized geometry

## Properties
Symmetry = No. 129
Magnetic moment = 0.0 μB per cell
E_form (uncorrected) = -0.683 eV per atom
Crystal system = tetragonal
Volume = 22.7 A^3/atom

a b c (Å): 4.1935 4.1935 7.7408
angles (deg): 90.00 90.00 90.00
Last column: nearest neighbours and their distance in Å.
Atoms (fractional coordinates):
1 Ti 0.0000 0.0000 0.5000  4 S 2.41
2 Ti 0.5000 0.5000 0.5000  4 S 2.41
3 S 0.0000 0.5000 0.3465  4 Ti 2.41
4 S 0.5000 0.0000 0.6535  4 Ti 2.41
5 Tl 0.0000 0.5000 0.8743  5 S 3.42-3.66, 4 Tl 3.55, 4 Ti 3.58
6 Tl 0.5000 0.0000 0.1257  5 S 3.42-3.66, 4 Tl 3.55, 4 Ti 3.58

---

[3]
Fe11Ir4Rh9 | PBE | optimized geometry

## Properties
Symmetry = No. 65
Magnetic moment = 39.8 μB per cell
Crystal system = orthorhombic
Volume = 13.7 A^3/atom
Energy of formation = 0.02 eV per atom

a b c (Å): 2.8504 10.9130 10.9130
angles (deg): 104.68 90.00 90.00
Last column: nearest neighbours and their distance in Å.
Atoms (fractional coordinates):
1 Fe 0.0000 0.9448 0.5823  1 Fe 2.40, 2 Ir 2.59, 6 Rh 2.66-2.67
2 Fe 0.0000 0.2212 0.2212  4 Ir 2.54, 4 Rh 2.58
3 Fe 0.0000 0.6299 0.3701  6 Rh 2.66-2.71, 4 Ir 2.73, 2 Fe 2.85
4 Fe 0.0000 0.3701 0.6299  6 Rh 2.66-2.71, 4 Ir 2.73, 2 Fe 2.85
5 Fe 0.0000 0.0000 0.0000  8 Rh 2.61, 2 Fe 2.85
6 Fe 0.0000 0.0552 0.4177  1 Fe 2.40, 2 Ir 2.59, 6 Rh 2.66-2.67
7 Fe 0.0000 0.4177 0.0552  1 Fe 2.40, 2 Ir 2.59, 6 Rh 2.66-2.67
8 Fe 0.0000 0.7788 0.7788  4 Ir 2.54, 4 Rh 2.58
9 Fe 0.0000 0.5823 0.9448  1 Fe 2.40, 2 Ir 2.59, 6 Rh 2.66-2.67
10 Fe 0.0000 0.8208 0.1792  8 Rh 2.54-2.56
11 Fe 0.0000 0.1792 0.8208  8 Rh 2.54-2.56
12 Rh 0.5000 0.3757 0.8425  8 Fe 2.54-2.71, 1 Ir 2.70
13 Rh 0.5000 0.9791 0.7950  8 Fe 2.56-2.67, 2 Rh 2.85
14 Rh 0.5000 0.1575 0.6243  8 Fe 2.54-2.71, 1 Ir 2.70
15 Rh 0.5000 0.6243 0.1575  8 Fe 2.54-2.71, 1 Ir 2.70
16 Rh 0.5000 0.2050 0.0209  8 Fe 2.56-2.67, 2 Rh 2.85
17 Rh 0.5000 0.5000 0.5000  4 Ir 2.61, 4 Fe 2.66, 2 Rh 2.85
18 Rh 0.5000 0.8425 0.3757  8 Fe 2.54-2.71, 1 Ir 2.70
19 Rh 0.5000 0.7950 0.9791  8 Fe 2.56-2.67, 2 Rh 2.85
20 Rh 0.5000 0.0209 0.2050  8 Fe 2.56-2.67, 2 Rh 2.85
21 Ir 0.5000 0.2534 0.4192  6 Fe 2.54-2.73, 2 Rh 2.61-2.70
22 Ir 0.5000 0.5808 0.7466  6 Fe 2.54-2.73, 2 Rh 2.61-2.70
23 Ir 0.5000 0.4192 0.2534  6 Fe 2.54-2.73, 2 Rh 2.61-2.70
24 Ir 0.5000 0.7466 0.5808  6 Fe 2.54-2.73, 2 Rh 2.61-2.70